Below is TbWF6 after structural relaxation, with properties calculated at the GGA+U level.

## Properties
Magnetic moment, μB per cell: 3.0
Total energy, eV per atom: -6.251

Cell lengths 5.953, 5.955, 6.101 Å; angles 60.81, 60.82, 60.02 degrees
Fractional positions:
Tb 0.000 0.000 0.000
W 0.500 0.500 0.500
F 0.202 0.746 0.744
F 0.255 0.690 0.254
F 0.308 0.202 0.747
F 0.692 0.798 0.253
F 0.745 0.310 0.746
F 0.798 0.254 0.256